This record from the Alexandria database describes crystalline BaSrCrBiO6 at its relaxed geometry. The functional is GGA+U.

Lattice parameters (Å, degrees): 5.8536 5.8536 5.8536 60.00 60.00 60.00
Last column: nearest neighbours and their distance in Å.
Atoms (fractional coordinates):
O  0.2552  0.7448  0.2552  1 Cr 2.03, 1 Bi 2.11
O  0.7448  0.7448  0.2552  1 Cr 2.03, 1 Bi 2.11
O  0.7448  0.2552  0.7448  1 Cr 2.03, 1 Bi 2.11
Ba  0.2500  0.2500  0.2500  12 O 2.93
O  0.2552  0.7448  0.7448  1 Cr 2.03, 1 Bi 2.11
Sr  0.7500  0.7500  0.7500  12 O 2.93
Cr  0.5000  0.5000  0.5000  6 O 2.03
O  0.7448  0.2552  0.2552  1 Cr 2.03, 1 Bi 2.11
O  0.2552  0.2552  0.7448  1 Cr 2.03, 1 Bi 2.11
Bi  0.0000  0.0000  0.0000  6 O 2.11

## Properties
DOS at the Fermi energy   0.056 states/eV/atom
Total energy   -64.079 eV/cell